## Rb2YCdF6 (PBE)

Data for crystalline Rb2YCdF6 at its relaxed geometry.

size of the total moment: 0.94 μB per formula unit
DOS at the Fermi energy: 2.57 states/eV/cell
formation energy (no corrections): -2942 meV/atom
VASP energy: -49.96 eV/cell

abc: 6.6545 6.6545 6.6545
angles: 60.00 60.00 60.00
Positions (direct):
Rb 0.2500 0.2500 0.2500
Rb 0.7500 0.7500 0.7500
Y 0.0000 0.0000 0.0000
Cd 0.5000 0.5000 0.5000
F 0.2326 0.2326 0.7674
F 0.2326 0.7674 0.2326
F 0.2326 0.7674 0.7674
F 0.7674 0.2326 0.2326
F 0.7674 0.2326 0.7674
F 0.7674 0.7674 0.2326